This record from Alexandria describes a relaxed structure of HoMnMoO6. The functional is PBE+U.

Output
The symmetry is P312, No. 149. The total energy comes out at -7.39 eV/atom.

a b c (Å): 5.383 5.383 4.442
angles (deg): 90.00 90.00 120.00
Positions (direct):
Ho: 0.000 0.000 0.000
Mn: 0.667 0.333 0.500
Mo: 0.333 0.667 0.000
O: 0.022 0.372 0.243
O: 0.022 0.649 0.757
O: 0.351 0.372 0.757
O: 0.351 0.978 0.243
O: 0.628 0.649 0.243
O: 0.628 0.978 0.757